Record 1
Li4HgI6: optimized geometry, GGA-PBE.

Calculated values
The crystal system is monoclinic. The calculation puts the formation energy without anion corrections at -0.9277 eV/atom. The symmetry is Cc, No. 9. For the total moment, the calculation gives 0.000 μB/f.u.

Unit cell a=7.864 b=7.864 c=15.229 alpha=101.36 beta=101.36 gamma=61.54
Fractional positions:
Li  0.058  0.942  0.500
Li  0.128  0.661  0.751
Li  0.277  0.426  0.006
Li  0.426  0.277  0.506
Li  0.467  0.862  0.836
Li  0.661  0.128  0.251
Li  0.862  0.467  0.336
Li  0.942  0.058  0.000
Hg  0.338  0.813  0.270
Hg  0.813  0.338  0.770
I  0.074  0.583  0.471
I  0.131  0.988  0.695
I  0.254  0.733  0.931
I  0.306  0.463  0.199
I  0.397  0.918  0.459
I  0.463  0.306  0.699
I  0.583  0.074  0.971
I  0.686  0.756  0.210
I  0.733  0.254  0.431
I  0.756  0.686  0.710
I  0.918  0.397  0.959
I  0.988  0.131  0.195

Record 2
Li3HgI3: optimized geometry, GGA-PBE.

Calculated values
The crystal system is triclinic. The calculation puts the formation energy without anion corrections at -1.0091 eV/atom. The symmetry is P-1, No. 2. For the total moment, the calculation gives 0.000 μB/f.u.

Unit cell a=8.032 b=8.036 c=11.589 alpha=110.20 beta=90.03 gamma=119.92
Fractional positions:
Li  0.033  0.399  0.100
Li  0.300  0.268  0.900
Li  0.367  0.067  0.100
Li  0.633  0.933  0.900
Li  0.700  0.732  0.100
Li  0.967  0.601  0.900
Hg  0.167  0.334  0.500
Hg  0.833  0.666  0.500
I  0.056  0.777  0.166
I  0.278  0.890  0.834
I  0.388  0.444  0.166
I  0.612  0.556  0.834
I  0.722  0.110  0.166
I  0.944  0.223  0.834